VASP calculation (PBE-GGA) on a relaxed structure of SmDy4Zn5.

Cell and atoms, written as POSCAR:
```
SmDy4Zn5
1.0
3.582 0.000 0.000
0.000 3.582 0.000
0.000 0.000 17.905
Sm Dy Zn
1 4 5
Direct
0.000 0.000 0.000
0.000 0.000 0.203
0.000 0.000 0.401
0.000 0.000 0.599
0.000 0.000 0.797
0.500 0.500 0.105
0.500 0.500 0.302
0.500 0.500 0.500
0.500 0.500 0.698
0.500 0.500 0.895
```

## Properties
Uncorrected energy, eV/cell: -32.84
Size of the total moment, μB per formula unit: 0.0
Formation energy, kJ per mole of atoms: -32.24